MnCd2AsO | PBE+U | relaxed

## Properties
D(E_F) = 2.18 states/eV/cell
E_tot = -18.9 eV for the cell shown

a = 5.522 Å, b = 5.522 Å, c = 3.604 Å
α = 90.00°, β = 90.00°, γ = 90.00°
Space group P4/mmm (No. 123)
One atom of each set of equivalent atoms:
Mn 0.000 0.000 0.000 [1 per cell]
Cd 0.000 0.500 0.000 [2 per cell]
As 0.500 0.500 0.500 [1 per cell]
O 0.000 0.000 0.500 [1 per cell]


MnCdAs2O6 | PBE+U | relaxed

## Properties
E_tot = -236.2 eV for the cell shown

a = 7.801 Å, b = 10.986 Å, c = 7.284 Å
α = 90.00°, β = 112.79°, γ = 90.00°
Space group C2/c (No. 15)
One atom of each set of equivalent atoms:
Mn 0.000 0.068 0.250 [4 per cell]
Cd 0.000 0.266 0.750 [4 per cell]
As 0.153 0.366 0.222 [8 per cell]
O 0.119 0.403 0.984 [8 per cell]
O 0.129 0.075 0.630 [8 per cell]
O 0.192 0.210 0.259 [8 per cell]


Mn2Cd2AsO6 | PBE+U | relaxed

## Properties
D(E_F) = 2.54 states/eV/cell
E_tot = -128.8 eV for the cell shown

a = 5.528 Å, b = 9.460 Å, c = 5.792 Å
α = 90.00°, β = 105.64°, γ = 90.00°
Space group C2/m (No. 12)
One atom of each set of equivalent atoms:
Mn 0.000 0.163 0.000 [4 per cell]
Cd 0.000 0.330 0.500 [4 per cell]
As 0.000 0.500 0.000 [2 per cell]
O 0.197 0.351 0.194 [8 per cell]
O 0.228 0.500 0.802 [4 per cell]


Mn2CdAsO6 | PBE+U | relaxed

## Properties
D(E_F) = 4.53 states/eV/cell
E_tot = -61.2 eV for the cell shown

a = 5.243 Å, b = 5.243 Å, c = 5.147 Å
α = 90.00°, β = 90.00°, γ = 90.00°
Space group P4mm (No. 99)
One atom of each set of equivalent atoms:
Mn 0.000 0.500 0.000 [2 per cell]
Cd 0.000 0.000 0.570 [1 per cell]
As 0.500 0.500 0.671 [1 per cell]
O 0.000 0.000 0.167 [1 per cell]
O 0.269 0.269 0.801 [4 per cell]
O 0.500 0.500 0.340 [1 per cell]


MnCd2AsO4 | PBE+U | relaxed

## Properties
D(E_F) = 4.67 states/eV/cell
E_tot = -163.9 eV for the cell shown

a = 9.090 Å, b = 9.030 Å, c = 6.910 Å
α = 90.00°, β = 129.76°, γ = 90.00°
Space group C2/c (No. 15)
One atom of each set of equivalent atoms:
Mn 0.000 0.000 0.000 [4 per cell]
Cd 0.000 0.500 0.000 [4 per cell]
Cd 0.250 0.250 0.000 [4 per cell]
As 0.250 0.250 0.500 [4 per cell]
O 0.051 0.248 0.574 [8 per cell]
O 0.215 0.014 0.436 [8 per cell]


no.,mass density (Mg/m³)
1,5.60
2,4.77
3,5.76
4,4.61
5,6.38